(1)
First-principles (PBE-GGA) data for a relaxed CaPOsRh2 crystal, as listed in Alexandria.

```
5
Lattice="-1.868 -4.323 -1.206 3.425 -0.710 -2.759 2.485 -2.084 3.621" Properties=species:S:1:pos:R:3 pbc="T T T"
Rh 1.243 -1.042 1.810
Rh -0.934 -2.161 -0.603
Ca 2.021 -3.558 -0.172
Os 0.000 0.000 0.000
P 1.712 -0.355 -1.380
```

Results
N(E_F) (states/eV/atom): 0.833
Space group: No. 123
DFT formation energy (kJ/mol of atoms): 31


(2)
First-principles (PBE-GGA) data for a relaxed CaPOs2Rh crystal, as listed in Alexandria.

```
5
Lattice="4.671 0.000 0.000 0.000 5.146 0.000 0.000 0.000 4.671" Properties=species:S:1:pos:R:3 pbc="T T T"
Rh 0.000 0.000 0.000
Ca 0.000 2.573 0.000
Os 0.000 0.000 2.335
Os 2.335 0.000 0.000
P 2.335 2.573 2.335
```

Results
N(E_F) (states/eV/atom): 1.179
Space group: No. 123
DFT formation energy (kJ/mol of atoms): 152